Entry 1:
A relaxed structure of HfMoPdO2. Source: Alexandria via LeMat-Bulk, functional PBE with a Hubbard U.

The space group is P4/mmm (No. 123) and the conventional cell measures 4.046, 4.046 and 5.047 Å, with angles of 90.00, 90.00 and 90.00 degrees. The distinct sites, in fractional coordinates, are Hf at (0.000, 0.000, 0.000), Mo at (0.500, 0.500, 0.000), Pd at (0.500, 0.500, 0.500) and O at (0.000, 0.500, 0.500).

The value obtained for the density of states at the Fermi level is 2.697 states/eV per cell. For the total energy, the calculation gives -5.814 eV per atom. Its crystal system is tetragonal.

Entry 2:
A relaxed structure of PmHf2MoO8. Source: Alexandria via LeMat-Bulk, functional PBE with a Hubbard U.

The space group is P-1 (No. 2) and the conventional cell measures 4.939, 4.943 and 6.596 Å, with angles of 90.27, 90.26 and 90.89 degrees. The distinct sites, in fractional coordinates, are Pm at (0.000, 0.000, 0.000), Hf at (0.495, 0.495, 0.254), Mo at (0.000, 0.000, 0.500), O at (0.197, 0.196, 0.710), O at (0.203, 0.202, 0.282), O at (0.299, 0.700, 0.500) and O at (0.323, 0.676, 0.000).

The value obtained for the density of states at the Fermi level is 0.000 states/eV per cell. For the total energy, the calculation gives -8.875 eV per atom. Its crystal system is triclinic.

Entry 3:
A relaxed structure of PrHf2MoO8. Source: Alexandria via LeMat-Bulk, functional PBE with a Hubbard U.

The space group is Cmmm (No. 65) and the conventional cell measures 6.937, 7.081 and 6.638 Å, with angles of 90.00, 90.00 and 90.00 degrees. The distinct sites, in fractional coordinates, are Pr at (0.000, 0.000, 0.000), Hf at (0.000, 0.500, 0.255), Mo at (0.000, 0.000, 0.500), O at (0.000, 0.298, 0.500), O at (0.000, 0.326, 0.000) and O at (0.202, 0.000, 0.290).

For the total energy, the calculation gives -8.843 eV per atom. Its crystal system is orthorhombic.

Entry 4:
A relaxed structure of HfMoPtO2. Source: Alexandria via LeMat-Bulk, functional PBE with a Hubbard U.

The space group is P4/mmm (No. 123) and the conventional cell measures 3.854, 3.854 and 5.625 Å, with angles of 90.00, 90.00 and 90.00 degrees. The distinct sites, in fractional coordinates, are Hf at (0.000, 0.000, 0.000), Mo at (0.500, 0.500, 0.500), Pt at (0.500, 0.500, 0.000) and O at (0.000, 0.500, 0.500).

The value obtained for the density of states at the Fermi level is 2.323 states/eV per cell. For the total energy, the calculation gives -7.392 eV per atom. Its crystal system is tetragonal.

Entry 5:
A relaxed structure of PuHfMoO6. Source: Alexandria via LeMat-Bulk, functional PBE with a Hubbard U.

The space group is P-31c (No. 163) and the conventional cell measures 5.3596, 5.3596 and 9.7100 Å, with angles of 90.00, 90.00 and 120.00 degrees. The distinct sites, in fractional coordinates, are Pu at (0.0000, 0.0000, 0.0000), Hf at (0.3333, 0.6667, 0.2500), Mo at (0.3333, 0.6667, 0.7500) and O at (0.0036, 0.3479, 0.6347).

The value obtained for the density of states at the Fermi level is 21.554 states/eV per cell. For the total energy, the calculation gives -9.491 eV per atom. Its crystal system is trigonal.

Entry 6:
A relaxed structure of RbHf2MoO8. Source: Alexandria via LeMat-Bulk, functional PBE with a Hubbard U.

The space group is P2/m (No. 10) and the conventional cell measures 4.911, 6.984 and 4.919 Å, with angles of 90.00, 91.95 and 90.00 degrees. The distinct sites, in fractional coordinates, are Rb at (0.000, 0.000, 0.000), Hf at (0.500, 0.266, 0.500), Mo at (0.000, 0.500, 0.000), O at (0.203, 0.312, 0.202), O at (0.295, 0.500, 0.704) and O at (0.353, 0.000, 0.644).

For the total energy, the calculation gives -7.902 eV per atom. Its crystal system is monoclinic.